{"formula": "CaPBr2F", "functional": "GGA-PBE", "state": "relaxed", "raw_formation_energy_ev_per_atom": -0.879, "cell": [[5.571, 0.000, 0.000], [0.000, 5.571, 0.000], [0.000, 0.000, 3.961]], "species": ["Ca", "P", "Br", "Br", "F"], "frac_coords": [[0.000, 0.000, 0.000], [0.500, 0.500, 0.500], [0.000, 0.500, 0.500], [0.500, 0.000, 0.500], [0.500, 0.500, 0.000]]}